Arrangement 1

DFT (PBE) results for a relaxed TbCeTm2 crystal.

a b c (Å): 3.518 3.518 33.912
angles (deg): 90.00 90.00 120.00
Atoms (fractional coordinates):
Tb 0.000 0.000 0.000
Tb 0.333 0.667 0.667
Tb 0.667 0.333 0.333
Ce 0.000 0.000 0.834
Ce 0.333 0.667 0.501
Ce 0.667 0.333 0.168
Tm 0.000 0.000 0.250
Tm 0.000 0.000 0.418
Tm 0.333 0.667 0.085
Tm 0.333 0.667 0.916
Tm 0.667 0.333 0.583
Tm 0.667 0.333 0.752

Summary:
**Symmetry**: R3m (160)
**Total magnetic moment**: 0.5 μB per formula unit

=====

Arrangement 2

DFT (PBE) results for a relaxed TbCeTm2 crystal.

a b c (Å): 3.541 3.541 11.332
angles (deg): 90.00 90.00 120.00
Atoms (fractional coordinates):
Tb 0.000 0.000 0.000
Ce 0.000 0.000 0.500
Tm 0.333 0.667 0.250
Tm 0.333 0.667 0.750

Summary:
**Symmetry**: P-6m2 (187)
**Total magnetic moment**: 1.1 μB per formula unit

=====

The calculated energies rank the structures as follows, beginning with the most stable: arrangement 1, arrangement 2.

=====

Arrangement 1

DFT (PBE) results for a relaxed Tb3CeTm2 crystal.

a b c (Å): 8.566 8.566 8.566
angles (deg): 140.25 99.05 94.24
Atoms (fractional coordinates):
Tb 0.078 0.750 0.328
Tb 0.250 0.250 0.000
Tb 0.422 0.750 0.672
Tb 0.578 0.250 0.328
Tb 0.750 0.750 0.000
Tb 0.922 0.250 0.672
Ce 0.000 0.500 0.500
Ce 0.500 0.000 0.500
Tm 0.170 0.002 0.172
Tm 0.330 0.502 0.832
Tm 0.670 0.498 0.168
Tm 0.830 0.998 0.828

Summary:
**Symmetry**: Ibam (72)
**Total magnetic moment**: 1.5 μB per formula unit

=====

Arrangement 2

DFT (PBE) results for a relaxed Tb3CeTm2 crystal.

a b c (Å): 6.548 6.548 8.912
angles (deg): 98.40 98.40 94.50
Atoms (fractional coordinates):
Tb 0.089 0.911 0.750
Tb 0.175 0.339 0.999
Tb 0.339 0.175 0.499
Tb 0.661 0.825 0.501
Tb 0.825 0.661 0.001
Tb 0.911 0.089 0.250
Ce 0.421 0.579 0.750
Ce 0.579 0.421 0.250
Tm 0.121 0.631 0.375
Tm 0.369 0.879 0.125
Tm 0.631 0.121 0.875
Tm 0.879 0.369 0.625

Summary:
**Symmetry**: C2/c (15)
**Total magnetic moment**: 1.6 μB per formula unit

=====

The calculated energies rank the structures as follows, beginning with the most stable: arrangement 2, arrangement 1.

=====

Arrangement 1

DFT (PBE) results for a relaxed TbCeU crystal.

a b c (Å): 3.152 3.152 15.786
angles (deg): 90.00 90.00 90.00
Atoms (fractional coordinates):
Tb 0.000 0.000 0.000
Tb 0.500 0.500 0.500
Ce 0.000 0.000 0.311
Ce 0.500 0.500 0.811
U 0.000 0.000 0.660
U 0.500 0.500 0.160

Summary:
**Symmetry**: I4mm (107)
**Total magnetic moment**: 1.6 μB per formula unit

=====

Arrangement 2

DFT (PBE) results for a relaxed TbCeU crystal.

a b c (Å): 10.345 5.128 6.310
angles (deg): 90.00 90.00 90.00
Atoms (fractional coordinates):
Tb 0.086 0.250 0.088
Tb 0.414 0.750 0.588
Tb 0.586 0.250 0.412
Tb 0.914 0.750 0.912
Ce 0.204 0.250 0.584
Ce 0.296 0.750 0.084
Ce 0.704 0.250 0.916
Ce 0.796 0.750 0.416
U 0.064 0.750 0.460
U 0.436 0.250 0.960
U 0.564 0.750 0.040
U 0.936 0.250 0.540

Summary:
**Symmetry**: Pnma (62)
**Total magnetic moment**: 3.0 μB per formula unit

=====

The calculated energies rank the structures as follows, beginning with the most stable: arrangement 1, arrangement 2.

=====

Arrangement 1

DFT (PBE) results for a relaxed Tb4CeY2 crystal.

a b c (Å): 6.225 3.596 20.175
angles (deg): 90.00 95.92 90.00
Atoms (fractional coordinates):
Tb 0.000 0.000 0.000
Tb 0.022 0.500 0.572
Tb 0.095 0.000 0.285
Tb 0.118 0.500 0.857
Tb 0.500 0.500 0.000
Tb 0.522 0.000 0.572
Tb 0.595 0.500 0.285
Tb 0.618 0.000 0.857
Ce 0.404 0.500 0.714
Ce 0.904 0.000 0.714
Y 0.214 0.500 0.143
Y 0.309 0.500 0.428
Y 0.714 0.000 0.143
Y 0.809 0.000 0.428

Summary:
**Symmetry**: Cm (8)
**Total magnetic moment**: 0.9 μB per formula unit

=====

Arrangement 2

DFT (PBE) results for a relaxed Tb4CeY2 crystal.

a b c (Å): 6.153 12.854 5.934
angles (deg): 90.00 90.00 90.00
Atoms (fractional coordinates):
Tb 0.000 0.136 0.000
Tb 0.000 0.299 0.500
Tb 0.000 0.701 0.500
Tb 0.000 0.864 0.000
Tb 0.500 0.201 0.500
Tb 0.500 0.364 0.000
Tb 0.500 0.636 0.000
Tb 0.500 0.799 0.500
Ce 0.000 0.000 0.500
Ce 0.500 0.500 0.500
Y 0.000 0.388 0.000
Y 0.000 0.612 0.000
Y 0.500 0.112 0.000
Y 0.500 0.888 0.000

Summary:
**Symmetry**: Cmmm (65)
**Total magnetic moment**: 2.4 μB per formula unit

=====

The calculated energies rank the structures as follows, beginning with the most stable: arrangement 1, arrangement 2.

=====

Arrangement 1

DFT (PBE) results for a relaxed Tb2CeY4 crystal.

a b c (Å): 6.237 3.602 20.202
angles (deg): 90.00 95.91 90.00
Atoms (fractional coordinates):
Tb 0.000 0.000 0.000
Tb 0.095 0.000 0.285
Tb 0.500 0.500 0.000
Tb 0.595 0.500 0.285
Ce 0.405 0.500 0.714
Ce 0.905 0.000 0.714
Y 0.191 0.000 0.571
Y 0.214 0.500 0.143
Y 0.286 0.000 0.857
Y 0.309 0.500 0.428
Y 0.691 0.500 0.571
Y 0.714 0.000 0.143
Y 0.786 0.500 0.857
Y 0.809 0.000 0.428

Summary:
**Symmetry**: Cm (8)
**Total magnetic moment**: 0.8 μB per formula unit

=====

Arrangement 2

DFT (PBE) results for a relaxed Tb2CeY4 crystal.

a b c (Å): 5.607 5.607 16.796
angles (deg): 90.00 90.00 119.67
Atoms (fractional coordinates):
Tb 0.165 0.835 0.556
Tb 0.165 0.835 0.944
Tb 0.835 0.165 0.056
Tb 0.835 0.165 0.444
Ce 0.497 0.503 0.750
Ce 0.503 0.497 0.250
Y 0.163 0.837 0.750
Y 0.170 0.830 0.146
Y 0.170 0.830 0.354
Y 0.500 0.500 0.000
Y 0.500 0.500 0.500
Y 0.830 0.170 0.646
Y 0.830 0.170 0.854
Y 0.837 0.163 0.250

Summary:
**Symmetry**: Cmcm (63)
**Total magnetic moment**: 0.9 μB per formula unit

=====

The calculated energies rank the structures as follows, beginning with the most stable: arrangement 1, arrangement 2.

=====

Arrangement 1

DFT (PBE) results for a relaxed Tb2CeY crystal.

a b c (Å): 3.551 3.551 34.690
angles (deg): 90.00 90.00 120.00
Atoms (fractional coordinates):
Tb 0.000 0.000 0.000
Tb 0.000 0.000 0.166
Tb 0.333 0.667 0.667
Tb 0.333 0.667 0.833
Tb 0.667 0.333 0.333
Tb 0.667 0.333 0.499
Ce 0.000 0.000 0.417
Ce 0.333 0.667 0.084
Ce 0.667 0.333 0.750
Y 0.000 0.000 0.583
Y 0.333 0.667 0.249
Y 0.667 0.333 0.916

Summary:
**Symmetry**: R3m (160)
**Total magnetic moment**: 0.8 μB per formula unit

=====

Arrangement 2

DFT (PBE) results for a relaxed Tb2CeY crystal.

a b c (Å): 23.059 3.420 6.430
angles (deg): 90.00 94.12 90.00
Atoms (fractional coordinates):
Tb 0.123 0.000 0.037
Tb 0.125 0.500 0.537
Tb 0.375 0.000 0.463
Tb 0.377 0.500 0.963
Tb 0.623 0.500 0.037
Tb 0.625 0.000 0.537
Tb 0.875 0.500 0.463
Tb 0.877 0.000 0.963
Ce 0.002 0.500 0.211
Ce 0.498 0.000 0.789
Ce 0.502 0.000 0.211
Ce 0.998 0.500 0.789
Y 0.250 0.000 0.744
Y 0.250 0.500 0.256
Y 0.750 0.000 0.256
Y 0.750 0.500 0.744

Summary:
**Symmetry**: C2/m (12)
**Total magnetic moment**: 0.4 μB per formula unit

=====

The calculated energies rank the structures as follows, beginning with the most stable: arrangement 1, arrangement 2.

=====

Arrangement 1

DFT (PBE) results for a relaxed Tb2CeY crystal.

a b c (Å): 3.541 3.541 10.031
angles (deg): 90.00 90.00 90.00
Atoms (fractional coordinates):
Tb 0.000 0.000 0.243
Tb 0.000 0.000 0.757
Ce 0.500 0.500 0.000
Y 0.500 0.500 0.500

Summary:
**Symmetry**: P4/mmm (123)
**Total magnetic moment**: 0.6 μB per formula unit

=====

Arrangement 2

DFT (PBE) results for a relaxed Tb2CeY crystal.

a b c (Å): 5.023 5.023 5.015
angles (deg): 90.00 90.00 90.00
Atoms (fractional coordinates):
Tb 0.000 0.500 0.000
Tb 0.500 0.000 0.000
Ce 0.000 0.000 0.500
Y 0.500 0.500 0.500

Summary:
**Symmetry**: P4/mmm (123)
**Total magnetic moment**: 0.6 μB per formula unit

=====

Arrangement 3

DFT (PBE) results for a relaxed Tb2CeY crystal.

a b c (Å): 8.035 8.035 8.035
angles (deg): 90.00 90.00 90.00
Atoms (fractional coordinates):
Tb 0.250 0.250 0.250
Tb 0.250 0.250 0.750
Tb 0.250 0.750 0.250
Tb 0.250 0.750 0.750
Tb 0.750 0.250 0.250
Tb 0.750 0.250 0.750
Tb 0.750 0.750 0.250
Tb 0.750 0.750 0.750
Ce 0.000 0.000 0.000
Ce 0.000 0.500 0.500
Ce 0.500 0.000 0.500
Ce 0.500 0.500 0.000
Y 0.000 0.000 0.500
Y 0.000 0.500 0.000
Y 0.500 0.000 0.000
Y 0.500 0.500 0.500

Summary:
**Symmetry**: Fm-3m (225)
**Total magnetic moment**: 2.5 μB per formula unit

=====

The calculated energies rank the structures as follows, beginning with the most stable: arrangement 1, arrangement 2, arrangement 3.

=====

Arrangement 1

DFT (PBE) results for a relaxed Tb7CeY12 crystal.

a b c (Å): 9.812 9.812 9.812
angles (deg): 109.47 109.47 109.47
Atoms (fractional coordinates):
Tb 0.000 0.000 0.500
Tb 0.000 0.500 0.000
Tb 0.000 0.500 0.500
Tb 0.500 0.000 0.000
Tb 0.500 0.000 0.500
Tb 0.500 0.500 0.000
Tb 0.500 0.500 0.500
Ce 0.000 0.000 0.000
Y 0.000 0.254 0.746
Y 0.000 0.746 0.254
Y 0.254 0.000 0.746
Y 0.254 0.254 0.508
Y 0.254 0.508 0.254
Y 0.254 0.746 0.000
Y 0.492 0.746 0.746
Y 0.508 0.254 0.254
Y 0.746 0.000 0.254
Y 0.746 0.254 0.000
Y 0.746 0.492 0.746
Y 0.746 0.746 0.492

Summary:
**Symmetry**: Im-3m (229)
**Total magnetic moment**: 1.5 μB per formula unit

=====

Arrangement 2

DFT (PBE) results for a relaxed Tb7CeY12 crystal.

a b c (Å): 9.314 9.314 9.314
angles (deg): 107.89 107.89 107.89
Atoms (fractional coordinates):
Tb 0.000 0.000 0.000
Tb 0.185 0.605 0.502
Tb 0.395 0.498 0.815
Tb 0.498 0.815 0.395
Tb 0.502 0.185 0.605
Tb 0.605 0.502 0.185
Tb 0.815 0.395 0.498
Ce 0.500 0.500 0.500
Y 0.096 0.200 0.437
Y 0.110 0.824 0.290
Y 0.176 0.710 0.890
Y 0.200 0.437 0.096
Y 0.290 0.110 0.824
Y 0.437 0.096 0.200
Y 0.563 0.904 0.800
Y 0.710 0.890 0.176
Y 0.800 0.563 0.904
Y 0.824 0.290 0.110
Y 0.890 0.176 0.710
Y 0.904 0.800 0.563

Summary:
**Symmetry**: R-3 (148)
**Total magnetic moment**: 0.6 μB per formula unit

=====

The calculated energies rank the structures as follows, beginning with the most stable: arrangement 2, arrangement 1.

=====

Arrangement 1

DFT (PBE) results for a relaxed Tb6CeY crystal.

a b c (Å): 5.034 5.034 10.054
angles (deg): 90.00 90.00 90.00
Atoms (fractional coordinates):
Tb 0.000 0.000 0.000
Tb 0.000 0.000 0.500
Tb 0.000 0.500 0.248
Tb 0.000 0.500 0.752
Tb 0.500 0.000 0.248
Tb 0.500 0.000 0.752
Ce 0.500 0.500 0.000
Y 0.500 0.500 0.500

Summary:
**Symmetry**: P4/mmm (123)
**Total magnetic moment**: 0.9 μB per formula unit

=====

Arrangement 2

DFT (PBE) results for a relaxed Tb6CeY crystal.

a b c (Å): 6.508 6.772 6.873
angles (deg): 118.77 101.66 91.02
Atoms (fractional coordinates):
Tb 0.228 0.402 0.477
Tb 0.249 0.950 0.000
Tb 0.266 0.926 0.519
Tb 0.734 0.074 0.481
Tb 0.751 0.050 0.000
Tb 0.772 0.598 0.523
Ce 0.000 0.500 0.000
Y 0.500 0.500 0.000

Summary:
**Symmetry**: P-1 (2)
**Total magnetic moment**: 1.5 μB per formula unit

=====

The calculated energies rank the structures as follows, beginning with the most stable: arrangement 1, arrangement 2.

=====

Arrangement 1

DFT (PBE) results for a relaxed Tb12CeY7 crystal.

a b c (Å): 9.324 9.324 9.324
angles (deg): 108.13 108.13 108.13
Atoms (fractional coordinates):
Tb 0.096 0.436 0.199
Tb 0.105 0.289 0.823
Tb 0.177 0.895 0.711
Tb 0.199 0.096 0.436
Tb 0.289 0.823 0.105
Tb 0.436 0.199 0.096
Tb 0.564 0.801 0.904
Tb 0.711 0.177 0.895
Tb 0.801 0.904 0.564
Tb 0.823 0.105 0.289
Tb 0.895 0.711 0.177
Tb 0.904 0.564 0.801
Ce 0.500 0.500 0.500
Y 0.000 0.000 0.000
Y 0.185 0.500 0.608
Y 0.392 0.815 0.500
Y 0.500 0.392 0.815
Y 0.500 0.608 0.185
Y 0.608 0.185 0.500
Y 0.815 0.500 0.392

Summary:
**Symmetry**: R-3 (148)
**Total magnetic moment**: 0.9 μB per formula unit

=====

Arrangement 2

DFT (PBE) results for a relaxed Tb12CeY7 crystal.

a b c (Å): 9.828 9.828 9.828
angles (deg): 109.47 109.47 109.47
Atoms (fractional coordinates):
Tb 0.001 0.744 0.257
Tb 0.256 0.257 0.513
Tb 0.256 0.743 0.999
Tb 0.257 0.001 0.744
Tb 0.257 0.513 0.256
Tb 0.487 0.744 0.743
Tb 0.513 0.256 0.257
Tb 0.743 0.487 0.744
Tb 0.743 0.999 0.256
Tb 0.744 0.257 0.001
Tb 0.744 0.743 0.487
Tb 0.999 0.256 0.743
Ce 0.000 0.000 0.000
Y 0.000 0.000 0.500
Y 0.000 0.500 0.000
Y 0.000 0.500 0.500
Y 0.500 0.000 0.000
Y 0.500 0.000 0.500
Y 0.500 0.500 0.000
Y 0.500 0.500 0.500

Summary:
**Symmetry**: Im-3 (204)
**Total magnetic moment**: 1.6 μB per formula unit

=====

The calculated energies rank the structures as follows, beginning with the most stable: arrangement 1, arrangement 2.